1.
Below is crystalline PrSc2Al at its relaxed geometry, with properties calculated at the PBE-GGA level.

Its calculated formation energy is -0.035 eV/atom. As for the density of states at the Fermi level: 1.35 states/eV/atom. The calculation puts the total energy at -63.978 eV/cell. The value obtained for the energy relative to the lowest polymorph listed for this composition is 15.88 kJ/mol of atoms. The value obtained for the density is 3.94 g/cm3.

The space group is R3m (No. 160, hexagonal axes) and the conventional cell measures 4.8209, 4.8209 and 16.2124 Å, with angles of 90.00, 90.00 and 120.00 degrees. The distinct sites, in fractional coordinates, are Pr at (0.0000, 0.0000, 0.0000), Sc at (0.0000, 0.0000, 0.5483), Sc at (0.0000, 0.0000, 0.7888) and Al at (0.0000, 0.0000, 0.2053).

***

2.
Below is crystalline GaHg3F at its relaxed geometry, with properties calculated at the PBE-GGA level.

As for the density of states at the Fermi level: 0.51 states/eV/atom. The calculation puts the total energy at -7.038 eV/cell. The value obtained for the energy relative to the lowest polymorph listed for this composition is 0.00 kJ/mol of atoms. The value obtained for the density is 7.98 g/cm3.

The space group is Pm-3m (No. 221) and the conventional cell measures 5.238, 5.238 and 5.238 Å, with angles of 90.00, 90.00 and 90.00 degrees. The distinct sites, in fractional coordinates, are Ga at (0.000, 0.000, 0.000), Hg at (0.000, 0.000, 0.500) and F at (0.500, 0.500, 0.500).

***

3.
Below is crystalline Bi2TeRh at its relaxed geometry, with properties calculated at the PBE-GGA level.

As for the density of states at the Fermi level: 0.62 states/eV/atom. The calculation puts the total energy at -75.166 eV/cell. The value obtained for the density is 10.11 g/cm3.

The space group is Pnma (No. 62) and the conventional cell measures 6.951, 7.541 and 8.129 Å, with angles of 90.00, 90.00 and 90.00 degrees. The distinct sites, in fractional coordinates, are Bi at (0.134, 0.029, 0.171), Te at (0.028, 0.750, 0.438) and Rh at (0.184, 0.750, 0.923).

***

4.
Below is crystalline FeSb at its relaxed geometry, with properties calculated at the PBE-GGA level.

As for the density of states at the Fermi level: 0.47 states/eV/atom. The calculation puts the total energy at -95.883 eV/cell. The value obtained for the density is 5.23 g/cm3.

The space group is I-43m (No. 217) and the conventional cell measures 7.667, 7.667 and 7.667 Å, with angles of 90.00, 90.00 and 90.00 degrees. The distinct sites, in fractional coordinates, are Fe at (0.112, 0.112, 0.112) and Sb at (0.199, 0.199, 0.801).